This record from Alexandria describes a relaxed Sm3Er3Th crystal. The functional is PBE.

abc: 9.6097 9.6097 5.7073
angles: 90.00 90.00 120.00
Space group P6_3/m (No. 176)
Asymmetric unit:
Sm 0.0566 0.8109 0.2500 [6 per cell]
Er 0.0954 0.6140 0.7500 [6 per cell]
Th 0.3333 0.6667 0.2500 [2 per cell]

## Properties
Polymorph energy (0 for the lowest one): 0 meV per atom
Formation energy from the elements: 0.030 eV/atom
Total energy: -0.368 Ry per atom


This record from Alexandria describes a relaxed Sm6ErTh crystal. The functional is PBE.

abc: 7.2064 7.2064 5.1240
angles: 90.00 90.00 90.00
Space group P4/mmm (No. 123)
Asymmetric unit:
Sm 0.0000 0.5000 0.0000 [2 per cell]
Sm 0.2458 0.2458 0.5000 [4 per cell]
Er 0.5000 0.5000 0.0000 [1 per cell]
Th 0.0000 0.0000 0.0000 [1 per cell]

## Properties
Polymorph energy (0 for the lowest one): 0 meV per atom
Formation energy from the elements: 0.034 eV/atom
Total energy: -0.368 Ry per atom


This record from Alexandria describes a relaxed SmEr4Th crystal. The functional is PBE.

abc: 8.7843 14.4557 6.5831
angles: 90.00 109.94 90.00
Space group C2/c (No. 15)
Asymmetric unit:
Sm 0.0000 0.0874 0.2500 [4 per cell]
Er 0.0924 0.3071 0.5323 [8 per cell]
Er 0.2034 0.1304 0.8764 [8 per cell]
Th 0.0000 0.4989 0.7500 [4 per cell]

## Properties
Polymorph energy (0 for the lowest one): 133 meV per atom
Formation energy from the elements: 0.159 eV/atom
Total energy: -0.361 Ry per atom